Computed, not measured: a PBEsol-optimized structure of Zn7H10C2O16 at the meta-GGA SCAN level of DFT.

a = 14.9202 Å, b = 5.3858 Å, c = 15.8755 Å
α = 90.00°, β = 94.79°, γ = 90.00°
Last column: nearest neighbours and their distance in Å.
Space group C2/c (No. 15)
One atom of each set of equivalent atoms:
Zn 0.0000 0.1976 0.2500 [4 per cell]  4 O 1.90-1.99
Zn 0.1407 0.2385 0.9636 [8 per cell]  4 O 1.94-2.02
Zn 0.1979 0.2286 0.1863 [8 per cell]  5 O 2.07-2.16
Zn 0.2202 0.2533 0.5908 [8 per cell]  6 O 2.06-2.27
H 0.0797 0.0128 0.5741 [8 per cell]  1 O 1.00
H 0.1050 0.1470 0.7175 [8 per cell]  1 O 0.99
H 0.1202 0.3315 0.4479 [8 per cell]  1 O 0.99
H 0.1605 0.4531 0.3154 [8 per cell]  1 O 0.99
H 0.1663 0.0345 0.8293 [8 per cell]  1 O 1.04
C 0.0210 0.4171 0.6283 [8 per cell]  3 O 1.29-1.30
O 0.0089 0.2400 0.9216 [8 per cell]  1 C 1.29
O 0.0344 0.4152 0.3484 [8 per cell]  1 C 1.30
O 0.1051 0.4231 0.6560 [8 per cell]  1 C 1.29
O 0.1087 0.0139 0.2480 [8 per cell]  1 H 0.99
O 0.1403 0.0630 0.0705 [8 per cell]  1 H 1.00
O 0.1742 0.4093 0.4765 [8 per cell]  1 H 0.99
O 0.2115 0.0785 0.8804 [8 per cell]  1 H 1.04
O 0.2216 0.4155 0.2997 [8 per cell]  1 H 0.99

## Properties
Size of the total moment = 0.0 μB/f.u.
Calculated total energy = -8.481 eV per atom